No. 1
Below is a relaxed AcLa2Sm6Y3 crystal, with properties calculated at the PBE level.

a = 6.356 Å, b = 11.017 Å, c = 12.134 Å
α = 90.00°, β = 100.09°, γ = 90.00°
Space group C2/m (No. 12)
One atom of each set of equivalent atoms:
Ac 0.000 0.000 0.000 x2
La 0.000 0.333 0.000 x4
Sm 0.246 0.333 0.743 x8
Sm 0.248 0.000 0.743 x4
Y 0.000 0.167 0.500 x4
Y 0.000 0.500 0.500 x2

Output
- Formation energy: 28 meV per atom

=====

No. 2
Below is a relaxed CaScBi2 crystal, with properties calculated at the PBE level.

a = 5.768 Å, b = 5.768 Å, c = 3.411 Å
α = 90.00°, β = 90.00°, γ = 90.00°
Space group P4/mmm (No. 123)
One atom of each set of equivalent atoms:
Ca 0.000 0.000 0.000 x1
Sc 0.500 0.500 0.000 x1
Bi 0.000 0.500 0.500 x2

Output
- Formation energy: -536 meV per atom

=====

No. 3
Below is a relaxed CaNdY crystal, with properties calculated at the PBE level.

a = 3.663 Å, b = 3.663 Å, c = 33.420 Å
α = 90.00°, β = 90.00°, γ = 90.00°
Space group I4/mmm (No. 139)
One atom of each set of equivalent atoms:
Ca 0.000 0.000 0.055 x4
Nd 0.000 0.000 0.210 x4
Y 0.000 0.000 0.364 x4

Output
- Formation energy: 96 meV per atom

=====

No. 4
Below is a relaxed GdInGa4 crystal, with properties calculated at the PBE level.

a = 7.944 Å, b = 7.944 Å, c = 7.944 Å
α = 90.00°, β = 90.00°, γ = 90.00°
Space group F-43m (No. 216)
One atom of each set of equivalent atoms:
Gd 0.000 0.000 0.000 x4
In 0.250 0.250 0.250 x4
Ga 0.125 0.125 0.625 x16

Output
- Formation energy: -244 meV per atom

=====

No. 5
Below is a relaxed PdPb2I6 crystal, with properties calculated at the PBE level.

a = 7.368 Å, b = 7.368 Å, c = 13.779 Å
α = 90.00°, β = 90.00°, γ = 90.00°
Space group P4_2/mnm (No. 136)
One atom of each set of equivalent atoms:
Pd 0.000 0.000 0.000 x2
Pb 0.000 0.000 0.337 x4
I 0.187 0.187 0.147 x8
I 0.220 0.220 0.500 x4

=====

No. 6
Below is a relaxed PuPa4Co5 crystal, with properties calculated at the PBE level.

a = 17.237 Å, b = 3.683 Å, c = 5.807 Å
α = 90.00°, β = 100.95°, γ = 90.00°
Space group C2/m (No. 12)
One atom of each set of equivalent atoms:
Pu 0.000 0.000 0.000 x2
Pa 0.109 0.500 0.750 x4
Pa 0.180 0.000 0.293 x4
Co 0.000 0.000 0.500 x2
Co 0.074 0.500 0.291 x4
Co 0.226 0.000 0.822 x4

Output
- Formation energy: -243 meV per atom

=====

No. 7
Below is a relaxed Tm4ThSc5 crystal, with properties calculated at the PBE level.

a = 9.679 Å, b = 9.679 Å, c = 6.062 Å
α = 90.00°, β = 90.00°, γ = 90.00°
Space group I4 (No. 79)
One atom of each set of equivalent atoms:
Tm 0.051 0.656 0.000 x8
Th 0.000 0.000 0.777 x2
Sc 0.000 0.000 0.248 x2
Sc 0.142 0.769 0.495 x8

Output
- Formation energy: 313 meV per atom

=====

No. 8
Below is a relaxed Na3Sc3CrS8 crystal, with properties calculated at the PBE level.

a = 7.3195 Å, b = 7.3195 Å, c = 20.3878 Å
α = 90.00°, β = 90.00°, γ = 120.00°
Space group R-3m (No. 166, hexagonal axes)
One atom of each set of equivalent atoms:
Na 0.0000 0.5000 0.0000 x9
Sc 0.0000 0.5000 0.5000 x9
Cr 0.0000 0.0000 0.5000 x3
S 0.0000 0.0000 0.2390 x6
S 0.0184 0.5092 0.2350 x18

=====

No. 9
Below is a relaxed LiTb4Cd7 crystal, with properties calculated at the PBE level.

a = 11.914 Å, b = 5.364 Å, c = 11.477 Å
α = 90.00°, β = 120.19°, γ = 90.00°
Space group C2/m (No. 12)
One atom of each set of equivalent atoms:
Li 0.000 0.000 0.000 x2
Tb 0.091 0.500 0.777 x4
Tb 0.250 0.000 0.676 x4
Cd 0.000 0.500 0.000 x2
Cd 0.075 0.000 0.330 x4
Cd 0.130 0.500 0.516 x4
Cd 0.201 0.000 0.924 x4

Output
- Formation energy: -138 meV per atom

=====

No. 10
Below is a relaxed Li4CaAs2 crystal, with properties calculated at the PBE level.

a = 7.680 Å, b = 7.680 Å, c = 4.311 Å
α = 90.00°, β = 90.00°, γ = 90.00°
Space group P4_2/mnm (No. 136)
One atom of each set of equivalent atoms:
Li 0.100 0.337 0.000 x8
Ca 0.000 0.000 0.500 x2
As 0.216 0.784 0.000 x4

Output
- Formation energy: -833 meV per atom

=====

No. 11
Below is a relaxed FeIrCl2 crystal, with properties calculated at the PBE level.

a = 13.915 Å, b = 3.022 Å, c = 4.318 Å
α = 90.00°, β = 93.19°, γ = 90.00°
Space group C2/m (No. 12)
One atom of each set of equivalent atoms:
Fe 0.000 0.000 0.000 x2
Ir 0.000 0.500 0.500 x2
Cl 0.137 0.500 0.219 x4

=====

No. 12
Below is a relaxed Sr4BP4 crystal, with properties calculated at the PBE level.

a = 8.535 Å, b = 8.535 Å, c = 6.222 Å
α = 90.00°, β = 90.00°, γ = 90.00°
Space group P4_2/nmc (No. 137, origin choice 2)
One atom of each set of equivalent atoms:
Sr 0.015 0.250 0.063 x8
B 0.250 0.750 0.250 x2
P 0.039 0.750 0.429 x8

Output
- Formation energy: -814 meV per atom

=====

Number 1: calculated total energy -5.112 eV per atom. Number 2: calculated total energy -4.560 eV per atom. Number 3: calculated total energy -4.315 eV per atom. Number 4: calculated total energy -5.066 eV per atom. Number 5: calculated total energy -2.811 eV per atom. Number 6: calculated total energy -9.028 eV per atom. Number 7: calculated total energy -5.383 eV per atom. Number 8: calculated total energy -5.835 eV per atom. Number 9: calculated total energy -2.375 eV per atom. Number 10: calculated total energy -3.541 eV per atom. Number 11: calculated total energy -5.196 eV per atom. Number 12: calculated total energy -4.708 eV per atom.